(1)
VASP calculation (PBE) on crystalline Sc3SiRu4 at its relaxed geometry.

The structure in CIF format:
```
data_Sc3SiRu4
_space_group_name_H-M_alt 'P 4/m m m'
_space_group_IT_number 123
_space_group_name_Hall '-P 4 2'
_cell_length_a 3.133
_cell_length_b 3.133
_cell_length_c 12.640
_cell_angle_alpha 90.00
_cell_angle_beta 90.00
_cell_angle_gamma 90.00
loop_
_atom_site_label
_atom_site_type_symbol
_atom_site_fract_x
_atom_site_fract_y
_atom_site_fract_z
Sc1 Sc 0.000 0.000 0.000
Sc2 Sc 0.000 0.000 0.258
Si1 Si 0.000 0.000 0.500
Ru1 Ru 0.500 0.500 0.131
Ru2 Ru 0.500 0.500 0.393
```

formation energy (no corrections) = -0.5824 eV/atom
mass density = 7.59 Mg/m³

---

(2)
VASP calculation (PBE) on crystalline Sc2Si3Ru5 at its relaxed geometry.

The structure in CIF format:
```
data_Sc2Si3Ru5
_space_group_name_H-M_alt 'C m c 21'
_space_group_IT_number 36
_cell_length_a 4.063
_cell_length_b 23.848
_cell_length_c 6.138
_cell_angle_alpha 90.00
_cell_angle_beta 90.00
_cell_angle_gamma 90.00
loop_
_space_group_symop_operation_xyz
'x,y,z'
'-x,-y,z+1/2'
'-x,y,z'
'x,-y,z+1/2'
'x+1/2,y+1/2,z'
'-x+1/2,-y+1/2,z+1/2'
'-x+1/2,y+1/2,z'
'x+1/2,-y+1/2,z+1/2'
loop_
_atom_site_label
_atom_site_type_symbol
_atom_site_fract_x
_atom_site_fract_y
_atom_site_fract_z
Sc1 Sc 0.000 0.016 0.000
Sc2 Sc 0.000 0.326 0.985
Si1 Si 0.000 0.110 0.247
Si2 Si 0.000 0.274 0.477
Si3 Si 0.000 0.452 0.223
Ru1 Ru 0.000 0.098 0.649
Ru2 Ru 0.000 0.205 0.760
Ru3 Ru 0.000 0.208 0.190
Ru4 Ru 0.000 0.373 0.490
Ru5 Ru 0.000 0.446 0.832
```

formation energy (no corrections) = -0.6813 eV/atom
mass density = 7.59 Mg/m³

---

(3)
VASP calculation (PBE) on crystalline ScSi7Ru3 at its relaxed geometry.

The structure in CIF format:
```
data_ScSi7Ru3
_space_group_name_H-M_alt 'R -3 c'
_space_group_IT_number 167
_space_group_name_Hall '-R 3 2"c'
_cell_length_a 7.5753
_cell_length_b 7.5753
_cell_length_c 19.7171
_cell_angle_alpha 90.00
_cell_angle_beta 90.00
_cell_angle_gamma 120.00
loop_
_atom_site_label
_atom_site_type_symbol
_atom_site_fract_x
_atom_site_fract_y
_atom_site_fract_z
Sc1 Sc 0.0000 0.0000 0.0000
Si1 Si 0.0000 0.0000 0.2500
Si2 Si 0.0085 0.2026 0.1372
Ru1 Ru 0.0000 0.3285 0.2500
```

formation energy (no corrections) = -0.5092 eV/atom
mass density = 5.54 Mg/m³